Entry from the Alexandria database: Be7As at its PBEsol-relaxed geometry (SCAN).

Summary:
Space group = Fm-3m, No. 225
ΔH_f (0 K) = 2.58 eV/f.u.
Size of the total moment = 0.0 μB per formula unit

Cell lengths 4.777, 4.777, 4.777 Å; angles 60.00, 60.00, 60.00 degrees
Sites, in units of the cell vectors:
Be 0.000 0.000 0.000
Be 0.000 0.000 0.500
Be 0.000 0.500 0.000
Be 0.000 0.500 0.500
Be 0.500 0.000 0.000
Be 0.500 0.000 0.500
Be 0.500 0.500 0.000
As 0.500 0.500 0.500